Record 1
# Cs3LiAs2S6, relaxed, DFT PBE
# raw formation energy = -8.070 eV/f.u.
data_Cs3LiAs2S6
_chemical_formula_sum 'Cs3 Li1 As2 S6'
_symmetry_space_group_name_H-M 'P -3 m 1'
_symmetry_Int_Tables_number 164
_symmetry_space_group_name_Hall '-P 3 2"'
_cell_length_a 7.3998
_cell_length_b 7.3998
_cell_length_c 9.1216
_cell_angle_alpha 90.00
_cell_angle_beta 90.00
_cell_angle_gamma 120.00
loop_
_atom_site_label
_atom_site_type_symbol
_atom_site_fract_x
_atom_site_fract_y
_atom_site_fract_z
Cs1 Cs 0.0000 0.0000 0.0000
Cs2 Cs 0.3333 0.6667 0.6543
Li1 Li 0.0000 0.0000 0.5000
As1 As 0.3333 0.6667 0.2451
S1 S 0.1693 0.3386 0.3123

Record 2
# CsLiAsS3, relaxed, DFT PBE
# raw formation energy = -4.073 eV/f.u.
data_CsLiAsS3
_chemical_formula_sum 'Cs4 Li4 As4 S12'
_symmetry_space_group_name_H-M 'C m c m'
_symmetry_Int_Tables_number 63
_symmetry_space_group_name_Hall '-C 2c 2'
_cell_length_a 6.989
_cell_length_b 12.699
_cell_length_c 6.773
_cell_angle_alpha 90.00
_cell_angle_beta 90.00
_cell_angle_gamma 90.00
loop_
_atom_site_label
_atom_site_type_symbol
_atom_site_fract_x
_atom_site_fract_y
_atom_site_fract_z
Cs1 Cs 0.000 0.241 0.250
Li1 Li 0.000 0.075 0.750
As1 As 0.000 0.451 0.750
S1 S 0.000 0.279 0.750
S2 S 0.250 0.000 0.000

Record 3
# CsLiAs2Se, relaxed, DFT PBE
# excess energy over the best structure of this formula in the dataset = 0 kJ/mol of formula units
# raw formation energy = 0.423 eV/f.u.
data_CsLiAs2Se
_chemical_formula_sum 'Cs1 Li1 As2 Se1'
_symmetry_space_group_name_H-M 'P 4/m m m'
_symmetry_Int_Tables_number 123
_symmetry_space_group_name_Hall '-P 4 2'
_cell_length_a 4.961
_cell_length_b 4.961
_cell_length_c 5.241
_cell_angle_alpha 90.00
_cell_angle_beta 90.00
_cell_angle_gamma 90.00
loop_
_atom_site_label
_atom_site_type_symbol
_atom_site_fract_x
_atom_site_fract_y
_atom_site_fract_z
Cs1 Cs 0.000 0.000 0.000
Li1 Li 0.500 0.500 0.500
As1 As 0.000 0.500 0.500
Se1 Se 0.500 0.500 0.000

> Which of these has the lowest raw formation energy?

Cs3LiAs2S6

> What is the raw formation energy in the first record?

-8.070 eV/f.u.

> Which formula does entry 1 have?

Cs3LiAs2S6